# 1
ScTiCu2: optimized geometry, PBE.

Cell lengths 5.6841, 5.6841, 5.6841 Å; angles 102.14, 102.14, 125.42 degrees
With the nearest neighbours (Å) after each atom.
Sites, in units of the cell vectors:
Sc 0.0000 0.0000 0.0000  2 Ti 2.61, 4 Cu 2.69
Sc 0.7500 0.2500 0.5000  2 Ti 2.61, 4 Cu 2.69
Ti 0.2500 0.7500 0.5000  4 Cu 2.53, 2 Sc 2.61
Ti 0.5000 0.5000 0.0000  4 Cu 2.53, 2 Sc 2.61
Cu 0.1420 0.6250 0.0170  2 Ti 2.53, 2 Cu 2.62, 2 Sc 2.69
Cu 0.3750 0.3920 0.5170  2 Ti 2.53, 2 Cu 2.62, 2 Sc 2.69
Cu 0.6080 0.1250 0.9830  2 Ti 2.53, 2 Cu 2.62, 2 Sc 2.69
Cu 0.8750 0.8580 0.4830  2 Ti 2.53, 2 Cu 2.62, 2 Sc 2.69

Output
Its total energy is -5.3373 eV/atom. For the formation energy from the elements, the calculation gives 267 meV per atom. Its calculated density is 5.49 g/cm³. The energy above the most stable polymorph in this dataset is 414 meV per atom. The crystal system is tetragonal.

=====

# 2
ScTiCu2: optimized geometry, PBE.

Cell lengths 3.1642, 3.1642, 6.3705 Å; angles 90.00, 90.00, 90.00 degrees
With the nearest neighbours (Å) after each atom.
Sites, in units of the cell vectors:
Sc 0.0000 0.0000 0.0000  8 Cu 2.84, 4 Sc 3.16
Ti 0.0000 0.0000 0.5000  8 Cu 2.66
Cu 0.5000 0.5000 0.2752  4 Ti 2.66, 4 Sc 2.84, 1 Cu 2.86
Cu 0.5000 0.5000 0.7248  4 Ti 2.66, 4 Sc 2.84, 1 Cu 2.86

Output
Its total energy is -5.7512 eV/atom. For the formation energy from the elements, the calculation gives -146 meV per atom. Its calculated density is 5.73 g/cm³. The energy above the most stable polymorph in this dataset is 0 meV per atom. The crystal system is tetragonal.

=====

# 3
ScTiCu3: optimized geometry, PBE.

Cell lengths 4.5577, 4.5577, 4.5577 Å; angles 90.00, 90.00, 90.00 degrees
With the nearest neighbours (Å) after each atom.
Sites, in units of the cell vectors:
Sc 0.0000 0.0000 0.0000  12 Cu 3.22
Ti 0.5000 0.5000 0.5000  6 Cu 2.28
Cu 0.0000 0.5000 0.5000  2 Ti 2.28
Cu 0.5000 0.0000 0.5000  2 Ti 2.28
Cu 0.5000 0.5000 0.0000  2 Ti 2.28

Output
Its total energy is -4.6033 eV/atom. For the formation energy from the elements, the calculation gives 700 meV per atom. Its calculated density is 4.97 g/cm³. The energy above the most stable polymorph in this dataset is 0 meV per atom. The crystal system is cubic.

=====

# 4
ScTiCu2: optimized geometry, PBE.

Cell lengths 4.4855, 4.4855, 3.1693 Å; angles 90.00, 90.00, 90.00 degrees
With the nearest neighbours (Å) after each atom.
Sites, in units of the cell vectors:
Sc 0.0000 0.0000 0.0000  8 Cu 2.75
Ti 0.5000 0.5000 0.0000  8 Cu 2.75
Cu 0.0000 0.5000 0.5000  4 Sc 2.75, 4 Ti 2.75
Cu 0.5000 0.0000 0.5000  4 Sc 2.75, 4 Ti 2.75

Output
Its total energy is -5.7305 eV/atom. For the formation energy from the elements, the calculation gives -126 meV per atom. Its calculated density is 5.73 g/cm³. The energy above the most stable polymorph in this dataset is 21 meV per atom. The crystal system is tetragonal.

=====

# 5
Sc2TiCu2: optimized geometry, PBE.

Cell lengths 7.3767, 7.3767, 3.2689 Å; angles 90.00, 90.00, 90.00 degrees
With the nearest neighbours (Å) after each atom.
Sites, in units of the cell vectors:
Sc 0.1704 0.3296 0.0000  6 Cu 2.68-2.75
Sc 0.3296 0.8296 0.0000  6 Cu 2.68-2.75
Sc 0.6704 0.1704 0.0000  6 Cu 2.68-2.75
Sc 0.8296 0.6704 0.0000  6 Cu 2.68-2.75
Ti 0.0000 0.0000 0.5000  4 Cu 2.91, 8 Sc 3.19
Ti 0.5000 0.5000 0.5000  4 Cu 2.91, 8 Sc 3.19
Cu 0.1260 0.6260 0.5000  1 Cu 2.63, 6 Sc 2.68-2.75, 2 Ti 2.91
Cu 0.3740 0.1260 0.5000  1 Cu 2.63, 6 Sc 2.68-2.75, 2 Ti 2.91
Cu 0.6260 0.8740 0.5000  1 Cu 2.63, 6 Sc 2.68-2.75, 2 Ti 2.91
Cu 0.8740 0.3740 0.5000  1 Cu 2.63, 6 Sc 2.68-2.75, 2 Ti 2.91

Output
Its total energy is -5.8286 eV/atom. For the formation energy from the elements, the calculation gives -79 meV per atom. Its calculated density is 4.95 g/cm³. The energy above the most stable polymorph in this dataset is 0 meV per atom. The crystal system is tetragonal.

=====

# 6
Sc5TiCu4: optimized geometry, PBE.

Cell lengths 3.2177, 3.2177, 17.3550 Å; angles 90.00, 90.00, 90.00 degrees
With the nearest neighbours (Å) after each atom.
Sites, in units of the cell vectors:
Sc 0.0000 0.0000 0.0000  8 Cu 2.81
Sc 0.0000 0.0000 0.1910  8 Cu 2.81-2.82
Sc 0.0000 0.0000 0.3825  4 Cu 2.83, 4 Ti 3.06
Sc 0.0000 0.0000 0.6175  4 Cu 2.83, 4 Ti 3.06
Sc 0.0000 0.0000 0.8090  8 Cu 2.81-2.82
Ti 0.5000 0.5000 0.5000  8 Sc 3.06, 4 Ti 3.22
Cu 0.5000 0.5000 0.0946  8 Sc 2.81-2.82
Cu 0.5000 0.5000 0.2858  8 Sc 2.81-2.83
Cu 0.5000 0.5000 0.7142  8 Sc 2.81-2.83
Cu 0.5000 0.5000 0.9054  8 Sc 2.81-2.82

Output
Its total energy is -5.7869 eV/atom. For the formation energy from the elements, the calculation gives -193 meV per atom. Its calculated density is 4.87 g/cm³. The crystal system is tetragonal.